Record 1
Below is a geometry-optimized LaVCr2Re structure, with properties calculated at the PBE level. Values from VASP.

Quantum ESPRESSO input file:
```
&SYSTEM
  ibrav = 0, nat = 5, ntyp = 4
/
ATOMIC_SPECIES
La 138.91 La.upf
V 50.94 V.upf
Cr 52.00 Cr.upf
Re 186.21 Re.upf
ATOMIC_POSITIONS crystal
La 0.000 0.000 0.000
V 0.500 0.500 0.500
Cr 0.000 0.500 0.000
Cr 0.500 0.000 0.000
Re 0.000 0.000 0.500
CELL_PARAMETERS angstrom
4.418 0.000 0.000
0.000 4.418 0.000
0.000 0.000 4.834
```

Output
DOS at the Fermi energy (states/eV/cell): 6.703
Raw total energy (eV/atom): -6.77
Formation energy (meV per atom): 2382.8
Total magnetization (μB/f.u.): 2.59
Space group: No. 123

Record 2
Below is a geometry-optimized ThCuH6Pt structure, with properties calculated at the PBE level. Values from VASP.

Quantum ESPRESSO input file:
```
&SYSTEM
  ibrav = 0, nat = 9, ntyp = 4
/
ATOMIC_SPECIES
Th 232.04 Th.upf
Cu 63.55 Cu.upf
H 1.01 H.upf
Pt 195.08 Pt.upf
ATOMIC_POSITIONS crystal
Th 0.000 0.000 0.000
Cu 0.333 0.667 0.500
H 0.005 0.503 0.214
H 0.005 0.503 0.786
H 0.497 0.503 0.214
H 0.497 0.503 0.786
H 0.497 0.995 0.214
H 0.497 0.995 0.786
Pt 0.667 0.333 0.500
CELL_PARAMETERS angstrom
4.574 0.000 0.000
-2.287 3.961 0.000
0.000 0.000 4.406
```

Output
DOS at the Fermi energy (states/eV/cell): 1.749
Raw total energy (eV/atom): -4.41
Total magnetization (μB/f.u.): 0.00
Space group: No. 187

Record 3
Below is a geometry-optimized ZrGaH structure, with properties calculated at the PBE level. Values from VASP.

Quantum ESPRESSO input file:
```
&SYSTEM
  ibrav = 0, nat = 12, ntyp = 3
/
ATOMIC_SPECIES
Zr 91.22 Zr.upf
Ga 69.72 Ga.upf
H 1.01 H.upf
ATOMIC_POSITIONS crystal
Zr 0.154 0.250 0.170
Zr 0.346 0.750 0.670
Zr 0.654 0.250 0.330
Zr 0.846 0.750 0.830
Ga 0.175 0.250 0.450
Ga 0.325 0.750 0.950
Ga 0.675 0.250 0.050
Ga 0.825 0.750 0.550
H 0.097 0.250 0.751
H 0.403 0.750 0.251
H 0.597 0.250 0.749
H 0.903 0.750 0.249
CELL_PARAMETERS angstrom
5.223 0.000 0.000
0.000 3.140 0.000
0.000 0.000 10.548
```

Output
DOS at the Fermi energy (states/eV/cell): 2.869
Raw total energy (eV/atom): -5.27
Total magnetization (μB/f.u.): 0.00
Space group: No. 62

Record 4
Below is a geometry-optimized Al3Cr5 structure, with properties calculated at the PBE level. Values from VASP.

Quantum ESPRESSO input file:
```
&SYSTEM
  ibrav = 0, nat = 16, ntyp = 2
/
ATOMIC_SPECIES
Al 26.98 Al.upf
Cr 52.00 Cr.upf
ATOMIC_POSITIONS crystal
Al 0.000 0.398 0.250
Al 0.000 0.602 0.750
Al 0.398 0.000 0.250
Al 0.398 0.398 0.750
Al 0.602 0.000 0.750
Al 0.602 0.602 0.250
Cr 0.000 0.230 0.750
Cr 0.000 0.770 0.250
Cr 0.230 0.000 0.750
Cr 0.230 0.230 0.250
Cr 0.333 0.667 0.000
Cr 0.333 0.667 0.500
Cr 0.667 0.333 0.000
Cr 0.667 0.333 0.500
Cr 0.770 0.000 0.250
Cr 0.770 0.770 0.750
CELL_PARAMETERS angstrom
7.242 0.000 0.000
-3.621 6.272 0.000
0.000 0.000 4.702
```

Output
DOS at the Fermi energy (states/eV/cell): 13.589
Raw total energy (eV/atom): -7.27
Formation energy (meV per atom): 149.3
Total magnetization (μB/f.u.): 3.92
Space group: No. 193

Record 5
Below is a geometry-optimized Sn2BiTeC structure, with properties calculated at the PBE level. Values from VASP.

Quantum ESPRESSO input file:
```
&SYSTEM
  ibrav = 0, nat = 5, ntyp = 4
/
ATOMIC_SPECIES
Sn 118.71 Sn.upf
Bi 208.98 Bi.upf
Te 127.60 Te.upf
C 12.01 C.upf
ATOMIC_POSITIONS crystal
Sn 0.000 0.500 0.000
Sn 0.500 0.000 0.000
Bi 0.000 0.000 0.000
Te 0.000 0.000 0.500
C 0.500 0.500 0.500
CELL_PARAMETERS angstrom
6.028 0.000 0.000
0.000 6.028 0.000
0.000 0.000 5.914
```

Output
Raw formation energy (eV/atom): 1.98
DOS at the Fermi energy (states/eV/cell): 4.561
Raw total energy (eV/atom): -2.87
Total magnetization (μB/f.u.): 2.15
Space group: No. 123

Record 6
Below is a geometry-optimized AsWSe2 structure, with properties calculated at the PBE level. Values from VASP.

Quantum ESPRESSO input file:
```
&SYSTEM
  ibrav = 0, nat = 8, ntyp = 3
/
ATOMIC_SPECIES
As 74.92 As.upf
W 183.84 W.upf
Se 78.96 Se.upf
ATOMIC_POSITIONS crystal
As 0.000 0.000 0.000
As 0.500 0.500 0.500
W 0.000 0.500 0.329
W 0.500 0.000 0.829
Se 0.000 0.000 0.675
Se 0.000 0.500 0.878
Se 0.500 0.000 0.378
Se 0.500 0.500 0.175
CELL_PARAMETERS angstrom
3.155 0.000 0.000
0.000 4.450 0.000
0.000 0.000 12.607
```

Output
Raw formation energy (eV/atom): 0.23
DOS at the Fermi energy (states/eV/cell): 4.568
Raw total energy (eV/atom): -5.92
Total magnetization (μB/f.u.): 0.00
Space group: No. 44

Record 7
Below is a geometry-optimized K2BeNb structure, with properties calculated at the PBE level. Values from VASP.

Quantum ESPRESSO input file:
```
&SYSTEM
  ibrav = 0, nat = 16, ntyp = 3
/
ATOMIC_SPECIES
K 39.10 K.upf
Be 9.01 Be.upf
Nb 92.91 Nb.upf
ATOMIC_POSITIONS crystal
K 0.076 0.750 0.125
K 0.250 0.076 0.875
K 0.250 0.424 0.375
K 0.424 0.750 0.625
K 0.576 0.250 0.625
K 0.750 0.576 0.375
K 0.750 0.924 0.875
K 0.924 0.250 0.125
Be 0.000 0.000 0.000
Be 0.000 0.500 0.250
Be 0.500 0.000 0.750
Be 0.500 0.500 0.500
Nb 0.000 0.000 0.500
Nb 0.000 0.500 0.750
Nb 0.500 0.000 0.250
Nb 0.500 0.500 0.000
CELL_PARAMETERS angstrom
12.520 0.000 0.000
0.000 12.520 0.000
0.000 0.000 4.581
```

Output
DOS at the Fermi energy (states/eV/cell): 17.123
Raw total energy (eV/atom): -2.61
Formation energy (meV per atom): 1385.2
Total magnetization (μB/f.u.): 2.58
Space group: No. 122

Record 8
Below is a geometry-optimized KRhSe2Cl structure, with properties calculated at the PBE level. Values from VASP.

Quantum ESPRESSO input file:
```
&SYSTEM
  ibrav = 0, nat = 5, ntyp = 4
/
ATOMIC_SPECIES
K 39.10 K.upf
Rh 102.91 Rh.upf
Se 78.96 Se.upf
Cl 35.45 Cl.upf
ATOMIC_POSITIONS crystal
K 0.000 0.000 0.000
Rh 0.500 0.500 0.000
Se 0.000 0.500 0.500
Se 0.500 0.000 0.500
Cl 0.500 0.500 0.500
CELL_PARAMETERS angstrom
5.434 0.000 0.000
0.000 5.434 0.000
0.000 0.000 4.440
```

Output
Raw formation energy (eV/atom): 0.38
DOS at the Fermi energy (states/eV/cell): 6.038
Raw total energy (eV/atom): -3.07
Total magnetization (μB/f.u.): 0.85
Space group: No. 123